Entry 1:
## ErH4Pd (GGA-PBE)

Data for crystalline ErH4Pd at its relaxed geometry.

The structure in POSCAR format:
```
ErH4Pd
1.0
3.6449 0.0000 0.0022
0.0000 5.0148 0.0000
-1.8367 0.0000 6.0058
H Pd Er
8 2 2
direct
0.6996 0.0651 0.3997
0.6997 0.5179 0.3997
0.5000 0.5414 0.0000
0.4999 0.0415 0.0000
0.0863 0.7915 0.1753
0.3004 0.5651 0.6003
0.9137 0.2915 0.8247
0.3004 0.0179 0.6003
0.4057 0.2915 0.8071
0.5943 0.7915 0.1929
0.8592 0.7915 0.7153
0.1409 0.2915 0.2847
```

Properties
The calculation puts the spin magnetization at 0.00 μB/cell. As for the raw total energy: -51.6 eV for the cell shown. The space group is P2_1/m (11).



Entry 2:
## TiCo3H6 (GGA-PBE)

Data for crystalline TiCo3H6 at its relaxed geometry.

The structure in POSCAR format:
```
TiCo3H6
1.0
3.7601 0.0006 -2.0149
-2.4195 3.5124 0.0002
0.1087 0.0754 4.7190
H Co Ti
6 3 1
direct
0.8268 0.4015 0.7222
0.3209 0.4254 0.7222
0.1728 0.6914 0.2761
0.2969 0.8956 0.7222
0.5844 0.4810 0.2760
0.7947 0.1032 0.2760
0.3537 0.6769 0.0306
0.6515 0.3258 0.9771
0.2026 0.1012 0.3041
0.7957 0.8979 0.6935
```

Properties
The calculation puts the spin magnetization at 1.76 μB/cell. As for the raw total energy: -50.7 eV for the cell shown. The space group is R3 (146).